Record 1
## La2PrAl (GGA-PBE)

Data for a relaxed structure of La2PrAl.

a = 3.764 Å, b = 3.764 Å, c = 9.081 Å
α = 90.00°, β = 90.00°, γ = 90.00°
Fractional positions:
La (0.000, 0.000, 0.208)
La (0.000, 0.000, 0.792)
Pr (0.500, 0.500, 0.500)
Al (0.500, 0.500, 0.000)

Computed properties:
Size of the total moment ... 0.00 μB/atom
Raw total energy ... -4.748 eV/atom
Space-group type ... No. 123
Energy of formation ... -3.55 kcal/mol of atoms
ΔE to the lowest computed polymorph ... 39 meV/atom

***

Record 2
## LaPr5Al3 (GGA-PBE)

Data for a relaxed structure of LaPr5Al3.

a = 9.418 Å, b = 9.418 Å, c = 6.961 Å
α = 90.00°, β = 90.00°, γ = 120.00°
Fractional positions:
La (0.000, 0.000, 0.000)
La (0.000, 0.000, 0.500)
Pr (0.000, 0.331, 0.250)
Pr (0.000, 0.669, 0.750)
Pr (0.331, 0.000, 0.250)
Pr (0.331, 0.331, 0.750)
Pr (0.333, 0.667, 0.000)
Pr (0.333, 0.667, 0.500)
Pr (0.667, 0.333, 0.000)
Pr (0.667, 0.333, 0.500)
Pr (0.669, 0.000, 0.750)
Pr (0.669, 0.669, 0.250)
Al (0.000, 0.336, 0.750)
Al (0.000, 0.664, 0.250)
Al (0.336, 0.000, 0.750)
Al (0.336, 0.336, 0.250)
Al (0.664, 0.000, 0.250)
Al (0.664, 0.664, 0.750)

Computed properties:
Size of the total moment ... 0.00 μB/atom
Raw total energy ... -4.665 eV/atom
Space-group type ... No. 193
Energy of formation ... -4.94 kcal/mol of atoms

***

Record 3
## La4Pr15Al (GGA-PBE)

Data for a relaxed structure of La4Pr15Al.

a = 5.175 Å, b = 5.175 Å, c = 26.236 Å
α = 90.00°, β = 90.00°, γ = 90.00°
Fractional positions:
La (0.000, 0.000, 0.101)
La (0.000, 0.000, 0.305)
La (0.000, 0.000, 0.695)
La (0.000, 0.000, 0.899)
Pr (0.000, 0.500, 0.000)
Pr (0.000, 0.500, 0.204)
Pr (0.000, 0.500, 0.408)
Pr (0.000, 0.500, 0.592)
Pr (0.000, 0.500, 0.796)
Pr (0.500, 0.000, 0.000)
Pr (0.500, 0.000, 0.204)
Pr (0.500, 0.000, 0.408)
Pr (0.500, 0.000, 0.592)
Pr (0.500, 0.000, 0.796)
Pr (0.500, 0.500, 0.102)
Pr (0.500, 0.500, 0.307)
Pr (0.500, 0.500, 0.500)
Pr (0.500, 0.500, 0.693)
Pr (0.500, 0.500, 0.898)
Al (0.000, 0.000, 0.500)

Computed properties:
Size of the total moment ... 0.00 μB/atom
Raw total energy ... -4.768 eV/atom
Space-group type ... No. 123
Energy of formation ... -0.24 kcal/mol of atoms

***

Record 4
## La2PrAl (GGA-PBE)

Data for a relaxed structure of La2PrAl.

a = 5.514 Å, b = 5.514 Å, c = 13.916 Å
α = 90.00°, β = 90.00°, γ = 120.00°
Fractional positions:
La (0.000, 0.000, 0.000)
La (0.000, 0.000, 0.295)
La (0.333, 0.667, 0.667)
La (0.333, 0.667, 0.962)
La (0.667, 0.333, 0.333)
La (0.667, 0.333, 0.629)
Pr (0.000, 0.000, 0.505)
Pr (0.333, 0.667, 0.172)
Pr (0.667, 0.333, 0.838)
Al (0.000, 0.000, 0.745)
Al (0.333, 0.667, 0.412)
Al (0.667, 0.333, 0.079)

Computed properties:
Size of the total moment ... 0.00 μB/atom
Raw total energy ... -4.623 eV/atom
Space-group type ... No. 160
Energy of formation ... -0.67 kcal/mol of atoms
ΔE to the lowest computed polymorph ... 164 meV/atom

***

Record 5
## LaPr5Al6 (GGA-PBE)

Data for a relaxed structure of LaPr5Al6.

a = 9.219 Å, b = 9.219 Å, c = 9.219 Å
α = 146.44°, β = 131.77°, γ = 60.04°
Fractional positions:
La (0.000, 0.000, 0.000)
Pr (0.163, 0.663, 0.500)
Pr (0.331, 0.331, 0.000)
Pr (0.500, 0.000, 0.500)
Pr (0.669, 0.669, 0.000)
Pr (0.837, 0.337, 0.500)
Al (0.086, 0.832, 0.254)
Al (0.259, 0.500, 0.759)
Al (0.422, 0.168, 0.254)
Al (0.578, 0.832, 0.746)
Al (0.741, 0.500, 0.241)
Al (0.914, 0.168, 0.746)

Computed properties:
Size of the total moment ... 0.00 μB/atom
Raw total energy ... -4.614 eV/atom
Space-group type ... No. 71
Energy of formation ... -7.85 kcal/mol of atoms

***

Record 6
## LaPr3Al8 (GGA-PBE)

Data for a relaxed structure of LaPr3Al8.

a = 9.918 Å, b = 9.918 Å, c = 9.918 Å
α = 33.55°, β = 33.55°, γ = 33.55°
Fractional positions:
La (0.000, 0.000, 0.000)
Pr (0.374, 0.374, 0.374)
Pr (0.500, 0.500, 0.500)
Pr (0.875, 0.875, 0.875)
Al (0.187, 0.187, 0.187)
Al (0.437, 0.437, 0.936)
Al (0.437, 0.936, 0.437)
Al (0.438, 0.938, 0.938)
Al (0.688, 0.688, 0.688)
Al (0.936, 0.437, 0.437)
Al (0.938, 0.438, 0.938)
Al (0.938, 0.938, 0.438)

Computed properties:
Size of the total moment ... 0.00 μB/atom
Raw total energy ... -4.592 eV/atom
Space-group type ... No. 160
Energy of formation ... -11.34 kcal/mol of atoms

***

Record 7
## La4Pr2Al (GGA-PBE)

Data for a relaxed structure of La4Pr2Al.

a = 6.421 Å, b = 11.019 Å, c = 6.726 Å
α = 90.00°, β = 92.30°, γ = 90.00°
Fractional positions:
La (0.001, 0.155, 0.000)
La (0.001, 0.345, 0.500)
La (0.499, 0.749, 0.752)
La (0.499, 0.751, 0.252)
La (0.501, 0.249, 0.748)
La (0.501, 0.251, 0.248)
La (0.999, 0.655, 0.500)
La (0.999, 0.845, 0.000)
Pr (0.239, 0.000, 0.452)
Pr (0.239, 0.500, 0.952)
Pr (0.761, 0.000, 0.548)
Pr (0.761, 0.500, 0.048)
Al (0.500, 0.000, 0.000)
Al (0.500, 0.500, 0.500)

Computed properties:
Size of the total moment ... 0.00 μB/atom
Raw total energy ... -4.701 eV/atom
Space-group type ... No. 14
Energy of formation ... 0.34 kcal/mol of atoms
ΔE to the lowest computed polymorph ... 20 meV/atom

***

Record 8
## LaPrAl3 (GGA-PBE)

Data for a relaxed structure of LaPrAl3.

a = 13.834 Å, b = 13.834 Å, c = 4.418 Å
α = 90.00°, β = 90.00°, γ = 161.60°
Fractional positions:
La (0.072, 0.928, 0.750)
La (0.928, 0.072, 0.250)
Pr (0.205, 0.795, 0.250)
Pr (0.795, 0.205, 0.750)
Al (0.329, 0.671, 0.250)
Al (0.381, 0.619, 0.750)
Al (0.476, 0.524, 0.750)
Al (0.524, 0.476, 0.250)
Al (0.619, 0.381, 0.250)
Al (0.671, 0.329, 0.750)

Computed properties:
Size of the total moment ... 0.00 μB/atom
Raw total energy ... -4.600 eV/atom
Space-group type ... No. 63
Energy of formation ... -9.52 kcal/mol of atoms

***

Record 9
## La4PrAl2 (GGA-PBE)

Data for a relaxed structure of La4PrAl2.

a = 5.954 Å, b = 5.954 Å, c = 12.887 Å
α = 90.00°, β = 90.00°, γ = 90.00°
Fractional positions:
La (0.000, 0.500, 0.000)
La (0.000, 0.500, 0.250)
La (0.000, 0.500, 0.500)
La (0.000, 0.500, 0.750)
La (0.500, 0.000, 0.000)
La (0.500, 0.000, 0.250)
La (0.500, 0.000, 0.500)
La (0.500, 0.000, 0.750)
Pr (0.000, 0.000, 0.000)
Pr (0.500, 0.500, 0.500)
Al (0.000, 0.000, 0.388)
Al (0.000, 0.000, 0.612)
Al (0.500, 0.500, 0.112)
Al (0.500, 0.500, 0.888)

Computed properties:
Size of the total moment ... 0.00 μB/atom
Raw total energy ... -4.426 eV/atom
Space-group type ... No. 139
Energy of formation ... 3.27 kcal/mol of atoms
ΔE to the lowest computed polymorph ... 309 meV/atom

***

Record 10
## La6PrAl2 (GGA-PBE)

Data for a relaxed structure of La6PrAl2.

a = 6.921 Å, b = 6.921 Å, c = 11.983 Å
α = 107.05°, β = 107.05°, γ = 32.57°
Fractional positions:
La (0.029, 0.029, 0.329)
La (0.309, 0.309, 0.404)
La (0.319, 0.319, 0.123)
La (0.681, 0.681, 0.877)
La (0.691, 0.691, 0.596)
La (0.971, 0.971, 0.671)
Pr (0.000, 0.000, 0.000)
Al (0.347, 0.347, 0.804)
Al (0.653, 0.653, 0.196)

Computed properties:
Size of the total moment ... 0.00 μB/atom
Raw total energy ... -4.794 eV/atom
Space-group type ... No. 12
Energy of formation ... -3.37 kcal/mol of atoms
ΔE to the lowest computed polymorph ... 0 meV/atom

***

Record 11
## La2PrAl (GGA-PBE)

Data for a relaxed structure of La2PrAl.

a = 5.448 Å, b = 7.237 Å, c = 12.434 Å
α = 90.00°, β = 90.00°, γ = 90.00°
Fractional positions:
La (0.000, 0.000, 0.000)
La (0.000, 0.231, 0.775)
La (0.000, 0.269, 0.275)
La (0.000, 0.500, 0.500)
La (0.000, 0.731, 0.275)
La (0.000, 0.769, 0.775)
La (0.500, 0.000, 0.359)
La (0.500, 0.500, 0.859)
Pr (0.500, 0.232, 0.590)
Pr (0.500, 0.268, 0.090)
Pr (0.500, 0.732, 0.090)
Pr (0.500, 0.768, 0.590)
Al (0.000, 0.000, 0.517)
Al (0.000, 0.500, 0.017)
Al (0.500, 0.000, 0.848)
Al (0.500, 0.500, 0.348)

Computed properties:
Size of the total moment ... 0.00 μB/atom
Raw total energy ... -4.787 eV/atom
Space-group type ... No. 38
Energy of formation ... -4.44 kcal/mol of atoms
ΔE to the lowest computed polymorph ... 0 meV/atom

***

Record 12
## LaPr4Al (GGA-PBE)

Data for a relaxed structure of LaPr4Al.

a = 3.699 Å, b = 3.699 Å, c = 14.563 Å
α = 90.00°, β = 90.00°, γ = 90.00°
Fractional positions:
La (0.000, 0.000, 0.000)
Pr (0.000, 0.000, 0.367)
Pr (0.000, 0.000, 0.633)
Pr (0.500, 0.500, 0.183)
Pr (0.500, 0.500, 0.817)
Al (0.500, 0.500, 0.500)

Computed properties:
Size of the total moment ... 0.00 μB/atom
Raw total energy ... -4.722 eV/atom
Space-group type ... No. 123
Energy of formation ... -2.10 kcal/mol of atoms
ΔE to the lowest computed polymorph ... 0 meV/atom

***

- size of the total moment of number 12 (LaPr4Al)?
  0.00 μB/atom

***

- What is the energy of formation in the seventh record?
  0.34 kcal/mol of atoms

***

- What is the size of the total moment in the eighth record?
  0.00 μB/atom

***

- Number 7 is which compound?
  La4Pr2Al